1.
# PBE Mn2SiAs2, optimized geometry
# ΔE_f (raw), eV per atom: 0.25
# D(E_F), states/eV per atom: 0.609
# Excess energy over the best structure of this formula in the dataset, eV per formula unit: 0.000
data_Mn2SiAs2
_chemical_formula_sum 'Mn4 Si2 As4'
_cell_length_a 7.189
_cell_length_b 7.189
_cell_length_c 3.187
_cell_angle_alpha 90.00
_cell_angle_beta 90.00
_cell_angle_gamma 90.00
_symmetry_space_group_name_H-M 'P 4/m b m'
_symmetry_Int_Tables_number 127
_symmetry_space_group_name_Hall '-P 4 2ab'
loop_
_atom_site_label
_atom_site_type_symbol
_atom_site_fract_x
_atom_site_fract_y
_atom_site_fract_z
Mn1 Mn 0.132 0.368 0.000
Si1 Si 0.000 0.000 0.500
As1 As 0.160 0.660 0.500


2.
# PBE MnSi4As, optimized geometry
# ΔE_f (raw), eV per atom: 0.50
# D(E_F), states/eV per atom: 0.471
data_MnSi4As
_chemical_formula_sum 'Mn4 Si16 As4'
_cell_length_a 7.177
_cell_length_b 7.177
_cell_length_c 7.177
_cell_angle_alpha 90.00
_cell_angle_beta 90.00
_cell_angle_gamma 90.00
_symmetry_space_group_name_H-M 'F -4 3 m'
_symmetry_Int_Tables_number 216
_symmetry_space_group_name_Hall 'F -4 2 3'
loop_
_atom_site_label
_atom_site_type_symbol
_atom_site_fract_x
_atom_site_fract_y
_atom_site_fract_z
Mn1 Mn 0.000 0.000 0.000
Si1 Si 0.125 0.125 0.625
As1 As 0.250 0.250 0.250


3.
# PBE MnSiAs, optimized geometry
# ΔE_f (raw), eV per atom: 0.06
# D(E_F), states/eV per atom: 0.668
data_MnSiAs
_chemical_formula_sum 'Mn4 Si4 As4'
_cell_length_a 5.724
_cell_length_b 5.724
_cell_length_c 5.724
_cell_angle_alpha 90.00
_cell_angle_beta 90.00
_cell_angle_gamma 90.00
_symmetry_space_group_name_H-M 'F -4 3 m'
_symmetry_Int_Tables_number 216
_symmetry_space_group_name_Hall 'F -4 2 3'
loop_
_atom_site_label
_atom_site_type_symbol
_atom_site_fract_x
_atom_site_fract_y
_atom_site_fract_z
Mn1 Mn 0.000 0.000 0.000
Si1 Si 0.250 0.250 0.250
As1 As 0.250 0.250 0.750


4.
# PBE MnSiAs3, optimized geometry
# ΔE_f (raw), eV per atom: 0.63
# D(E_F), states/eV per atom: 1.286
# Excess energy over the best structure of this formula in the dataset, eV per formula unit: 0.000
data_MnSiAs3
_chemical_formula_sum 'Mn1 Si1 As3'
_cell_length_a 4.607
_cell_length_b 4.607
_cell_length_c 4.607
_cell_angle_alpha 90.00
_cell_angle_beta 90.00
_cell_angle_gamma 90.00
_symmetry_space_group_name_H-M 'P m -3 m'
_symmetry_Int_Tables_number 221
_symmetry_space_group_name_Hall '-P 4 2 3'
loop_
_atom_site_label
_atom_site_type_symbol
_atom_site_fract_x
_atom_site_fract_y
_atom_site_fract_z
Mn1 Mn 0.000 0.000 0.000
Si1 Si 0.500 0.500 0.500
As1 As 0.000 0.000 0.500


5.
# PBE Mn5SiAs2, optimized geometry
# ΔE_f (raw), eV per atom: -0.14
# D(E_F), states/eV per atom: 0.902
data_Mn5SiAs2
_chemical_formula_sum 'Mn10 Si2 As4'
_cell_length_a 3.023
_cell_length_b 5.311
_cell_length_c 12.684
_cell_angle_alpha 90.00
_cell_angle_beta 90.00
_cell_angle_gamma 90.00
_symmetry_space_group_name_H-M 'I m m m'
_symmetry_Int_Tables_number 71
_symmetry_space_group_name_Hall '-I 2 2'
loop_
_atom_site_label
_atom_site_type_symbol
_atom_site_fract_x
_atom_site_fract_y
_atom_site_fract_z
Mn1 Mn 0.000 0.000 0.000
Mn2 Mn 0.000 0.241 0.387
Si1 Si 0.000 0.500 0.000
As1 As 0.000 0.000 0.218


6.
# PBE MnSiAs, optimized geometry
# ΔE_f (raw), eV per atom: 0.40
# D(E_F), states/eV per atom: 0.814
data_MnSiAs
_chemical_formula_sum 'Mn4 Si4 As4'
_cell_length_a 5.959
_cell_length_b 5.959
_cell_length_c 5.959
_cell_angle_alpha 90.00
_cell_angle_beta 90.00
_cell_angle_gamma 90.00
_symmetry_space_group_name_H-M 'F -4 3 m'
_symmetry_Int_Tables_number 216
_symmetry_space_group_name_Hall 'F -4 2 3'
loop_
_atom_site_label
_atom_site_type_symbol
_atom_site_fract_x
_atom_site_fract_y
_atom_site_fract_z
Mn1 Mn 0.000 0.000 0.000
Si1 Si 0.250 0.250 0.250
As1 As 0.000 0.000 0.500


7.
# PBE MnSiAs, optimized geometry
# ΔE_f (raw), eV per atom: 0.27
# D(E_F), states/eV per atom: 0.367
data_MnSiAs
_chemical_formula_sum 'Mn1 Si1 As1'
_cell_length_a 4.4650
_cell_length_b 4.4650
_cell_length_c 2.6055
_cell_angle_alpha 90.00
_cell_angle_beta 90.00
_cell_angle_gamma 120.00
_symmetry_space_group_name_H-M 'P 3 m 1'
_symmetry_Int_Tables_number 156
_symmetry_space_group_name_Hall 'P 3 -2"'
loop_
_atom_site_label
_atom_site_type_symbol
_atom_site_fract_x
_atom_site_fract_y
_atom_site_fract_z
Mn1 Mn 0.0000 0.0000 0.0000
Si1 Si 0.6667 0.3333 0.1377
As1 As 0.3333 0.6667 0.0404


8.
# PBE MnSi3As, optimized geometry
# ΔE_f (raw), eV per atom: 0.44
# D(E_F), states/eV per atom: 0.736
# Excess energy over the best structure of this formula in the dataset, eV per formula unit: 0.000
data_MnSi3As
_chemical_formula_sum 'Mn1 Si3 As1'
_cell_length_a 4.452
_cell_length_b 4.452
_cell_length_c 4.452
_cell_angle_alpha 90.00
_cell_angle_beta 90.00
_cell_angle_gamma 90.00
_symmetry_space_group_name_H-M 'P m -3 m'
_symmetry_Int_Tables_number 221
_symmetry_space_group_name_Hall '-P 4 2 3'
loop_
_atom_site_label
_atom_site_type_symbol
_atom_site_fract_x
_atom_site_fract_y
_atom_site_fract_z
Mn1 Mn 0.000 0.000 0.000
Si1 Si 0.000 0.000 0.500
As1 As 0.500 0.500 0.500


Question: What is the ΔE_f (raw) in the fifth record?
Answer: -0.14 eV per atom


What did the seventh record say?
# PBE MnSiAs, optimized geometry
# ΔE_f (raw), eV per atom: 0.27
# D(E_F), states/eV per atom: 0.367
data_MnSiAs
_chemical_formula_sum 'Mn1 Si1 As1'
_cell_length_a 4.4650
_cell_length_b 4.4650
_cell_length_c 2.6055
_cell_angle_alpha 90.00
_cell_angle_beta 90.00
_cell_angle_gamma 120.00
_symmetry_space_group_name_H-M 'P 3 m 1'
_symmetry_Int_Tables_number 156
_symmetry_space_group_name_Hall 'P 3 -2"'
loop_
_atom_site_label
_atom_site_type_symbol
_atom_site_fract_x
_atom_site_fract_y
_atom_site_fract_z
Mn1 Mn 0.0000 0.0000 0.0000
Si1 Si 0.6667 0.3333 0.1377
As1 As 0.3333 0.6667 0.0404


Question: Among the records above, which one has the lowest ΔE_f (raw)?
Answer: Mn5SiAs2


Question: Which of these has the lowest D(E_F)?
Answer: number 7